Material: Ba3Mn2Br2O4
Method: DFT, PBE with a Hubbard U
State: optimized geometry

Unit cell a=12.8770 b=12.8770 c=12.8770 alpha=160.59 beta=160.59 gamma=27.58
Closest atoms and distances in Å follow each position.
Positions (direct):
Ba1 0.0000 0.0000 0.0000  8 O 2.88
Ba2 0.1447 0.1447 0.0000  4 O 2.77
Ba3 0.8553 0.8553 0.0000  4 O 2.77
Mn1 0.4210 0.4210 0.0000  4 O 2.17
Mn2 0.5790 0.5790 0.0000  4 O 2.17
Br1 0.3017 0.3017 0.0000  1 Mn 2.98
Br2 0.6983 0.6983 0.0000  1 Mn 2.98
O1 0.0757 0.5757 0.5000  2 Mn 2.17
O2 0.4243 0.9243 0.5000  2 Mn 2.17
O3 0.5757 0.0757 0.5000  2 Mn 2.17
O4 0.9243 0.4243 0.5000  2 Mn 2.17

Calculated values
- Calculated volume: 235.7 Å³ per cell
- E: -6.07 eV per atom